Material: V2Cr2RhS6
Method: DFT, GGA-PBE
State: relaxed

Crystal system: monoclinic
ΔE_f (raw) in eV/atom: -0.5661
Final energy in eV per cell: -75.8

```
V2Cr2RhS6
1.0
-0.9947 6.0691 -0.0431
-0.2371 -3.5812 -4.9944
-5.1966 -1.6680 2.4560
V Cr Rh S
2 2 1 6
Direct
0.3642 0.6358 0.5000
0.6358 0.3642 0.5000
0.8340 0.1660 0.0000
0.1660 0.8340 0.0000
0.0000 0.0000 0.5000
0.7569 0.7569 0.7690
0.0451 0.4276 0.7335
0.2431 0.2431 0.2310
0.4276 0.0451 0.7335
0.9549 0.5724 0.2665
0.5724 0.9549 0.2665
```



Material: Nd7Sm3Er2
Method: DFT, GGA-PBE
State: relaxed

Crystal system: monoclinic
Final energy in eV per cell: -55.8
Energy above the lowest structure with this stoichiometry in eV/f.u.: 0.00

```
Nd7Sm3Er2
1.0
-0.4213 -0.9465 -3.4303
5.6326 -3.2437 0.2032
-4.5441 -16.9110 5.2244
Nd Sm Er
7 3 2
Direct
0.5000 0.2384 0.5053
0.5000 0.7616 0.4947
0.0000 0.5576 0.1688
0.0000 0.0000 0.0000
0.0000 0.4424 0.8312
0.5000 0.9477 0.8295
0.5000 0.0523 0.1705
0.5000 0.5000 0.0000
0.0000 0.1149 0.3391
0.0000 0.8851 0.6609
0.5000 0.6121 0.3299
0.5000 0.3879 0.6701
```



Material: K2As4Pd5
Method: DFT, GGA-PBE
State: relaxed

Crystal system: orthorhombic
Final energy in eV per cell: -51.5

```
K2As4Pd5
1.0
6.2856 0.0000 0.0000
3.1428 6.1747 0.0000
3.1428 0.0000 6.3608
K As Pd
2 4 5
Direct
0.8582 0.0000 0.2836
0.1418 0.0000 0.7164
0.4707 0.3107 0.7479
0.5293 0.6893 0.2521
0.2186 0.3107 0.2521
0.7814 0.6893 0.7479
0.5000 0.0000 0.0000
0.0000 0.5000 0.0000
0.5000 0.5000 0.0000
0.2500 0.5000 0.5000
0.7500 0.5000 0.5000
```



Material: LaCdHRhAu
Method: DFT, GGA-PBE
State: relaxed

Crystal system: orthorhombic
Final energy in eV per cell: -44.4
Energy above the lowest structure with this stoichiometry in eV/f.u.: 0.20

```
LaCdHRhAu
1.0
4.7769 0.0000 0.0000
0.0000 3.6961 0.0000
0.0000 0.0000 10.3117
La Cd H Rh Au
2 2 2 2 2
Direct
0.0000 0.0000 0.7002
0.0000 0.5000 0.2002
0.5000 0.0000 0.0061
0.5000 0.5000 0.5061
0.0000 0.0000 0.9451
0.0000 0.5000 0.4451
0.0000 0.0000 0.4428
0.0000 0.5000 0.9428
0.5000 0.0000 0.2850
0.5000 0.5000 0.7850
```



Material: PrY7Ho5
Method: DFT, GGA-PBE
State: relaxed

Crystal system: orthorhombic
Final energy in eV per cell: -69.8

```
PrY7Ho5
1.0
6.2736 0.0000 2.2989
2.9939 8.0505 1.5395
0.3633 -0.0905 8.7180
Pr Y Ho
1 7 5
Direct
0.9651 0.0349 0.0349
0.5765 0.4235 0.4235
0.2669 0.7331 0.7331
0.0194 0.3083 0.6529
0.0194 0.6529 0.3083
0.2657 0.2343 0.2343
0.5204 0.8108 0.1485
0.5204 0.1485 0.8108
0.5340 0.0018 0.4619
0.0022 0.0018 0.4619
0.5340 0.4619 0.0018
0.0022 0.4619 0.0018
0.7738 0.7262 0.7262
```